# 1
Below is a relaxed structure of Cr2CoTe, with properties calculated at the GGA-PBE level.

## Properties
total DFT energy (no corrections) = -0.5183 Ry/atom
raw formation energy = 0.321 eV/atom

Cell: 4.284 4.284 4.284 Å, 60.00 60.00 60.00°
Sites, in units of the cell vectors:
Cr 0.000 0.000 0.000
Cr 0.250 0.250 0.250
Co 0.500 0.500 0.500
Te 0.750 0.750 0.750



# 2
Below is a relaxed structure of Cr2CoTe4, with properties calculated at the GGA-PBE level.

## Properties
total DFT energy (no corrections) = -0.4194 Ry/atom
raw formation energy = -0.147 eV/atom

Cell: 6.948 6.948 6.873 Å, 60.95 60.95 33.56°
Sites, in units of the cell vectors:
Te 0.375 0.375 0.964
Te 0.625 0.625 0.036
Cr 0.745 0.745 0.271
Te 0.884 0.884 0.450
Te 0.116 0.116 0.550
Cr 0.255 0.255 0.729
Co 0.000 0.000 0.000



# 3
Below is a relaxed structure of Cr2CoTe, with properties calculated at the GGA-PBE level.

## Properties
total DFT energy (no corrections) = -0.5160 Ry/atom
raw formation energy = 0.354 eV/atom

Cell: 4.735 4.735 4.732 Å, 134.00 134.00 67.13°
Sites, in units of the cell vectors:
Cr 0.500 0.500 0.000
Co 0.250 0.750 0.500
Te 0.750 0.250 0.500
Cr 0.000 0.000 0.000



# 4
Below is a relaxed structure of CrCo2Te, with properties calculated at the GGA-PBE level.

## Properties
total DFT energy (no corrections) = -0.4548 Ry/atom
raw formation energy = 0.557 eV/atom

Cell: 4.437 5.085 3.026 Å, 74.23 86.62 114.75°
Sites, in units of the cell vectors:
Te 0.500 0.500 0.000
Co 0.000 0.000 0.000
Cr 0.000 0.500 0.500
Co 0.500 0.000 0.500



# 5
Below is a relaxed structure of CrCoTe, with properties calculated at the GGA-PBE level.

## Properties
total DFT energy (no corrections) = -0.4628 Ry/atom
raw formation energy = 0.327 eV/atom
E above lowest polymorph = 250 meV per atom

Cell: 4.142 4.142 3.408 Å, 90.00 90.00 120.00°
Sites, in units of the cell vectors:
Co 0.000 0.000 0.834
Te 0.333 0.667 0.833
Cr 0.667 0.333 0.334



# 6
Below is a relaxed structure of CrCo2Te, with properties calculated at the GGA-PBE level.

## Properties
total DFT energy (no corrections) = -0.4490 Ry/atom
raw formation energy = 0.635 eV/atom

Cell: 8.044 8.044 8.044 Å, 21.11 21.11 21.11°
Sites, in units of the cell vectors:
Co 0.508 0.508 0.508
Cr 0.250 0.250 0.250
Te 0.750 0.750 0.750
Co 0.992 0.992 0.992